No. 1
This record from Alexandria via LeMat-Bulk describes a relaxed structure of Sc4FeRh3. The functional is GGA-PBE.

Cell lengths 4.5193, 4.5194, 7.1658 Å; angles 108.34, 108.38, 90.00 degrees
Element x y z (fractional)
Sc 0.8780 0.8779 0.7559
Sc 0.6221 0.6220 0.2441
Sc 0.1220 0.1221 0.2441
Sc 0.3779 0.3780 0.7559
Rh 0.2510 0.7510 0.5019
Rh 0.7490 0.2490 0.4981
Rh 0.0000 0.5000 0.0000
Fe 0.5000 0.0000 0.0000

Properties
total moment: 0.000 μB/atom
DFT formation energy: -786 meV/atom
space-group type: I4/mmm (139)

---

No. 2
This record from Alexandria via LeMat-Bulk describes a relaxed structure of LaErPuO6. The functional is GGA-PBE.

Cell lengths 5.7565, 5.7565, 9.9804 Å; angles 90.00, 90.00, 120.00 degrees
Element x y z (fractional)
La 0.0000 0.0000 0.5000
La 0.0000 0.0000 0.0000
O 0.3442 0.3669 0.8611
O 0.9774 0.3442 0.1389
O 0.6331 0.9774 0.8611
O 0.0226 0.6558 0.8611
O 0.6558 0.6331 0.1389
O 0.6331 0.6558 0.6389
O 0.3669 0.3442 0.3611
O 0.3442 0.9774 0.6389
O 0.9774 0.6331 0.3611
O 0.3669 0.0226 0.1389
O 0.0226 0.3669 0.6389
O 0.6558 0.0226 0.3611
Pu 0.6667 0.3333 0.2500
Pu 0.3333 0.6667 0.7500
Er 0.6667 0.3333 0.7500
Er 0.3333 0.6667 0.2500

Properties
total moment: 0.222 μB/atom
energy relative to the elements, uncorrected: -3.10 eV per atom
space-group type: P-31c (163)

---

No. 3
This record from Alexandria via LeMat-Bulk describes a relaxed structure of LaCuSn2. The functional is GGA-PBE.

Cell lengths 4.6311, 9.4087, 10.4936 Å; angles 116.64, 102.75, 90.00 degrees
Element x y z (fractional)
Cu 0.8537 0.5976 0.7073
Cu 0.1463 0.8903 0.2927
Cu 0.1463 0.4024 0.2927
Cu 0.8537 0.1097 0.7073
La 0.7033 0.7033 0.4067
La 0.5000 0.7415 0.0000
La 0.2967 0.2967 0.5933
La 0.5000 0.2585 0.0000
Sn 0.3077 0.6494 0.6153
Sn 0.9227 0.4227 0.8454
Sn 0.6923 0.0341 0.3847
Sn 0.9194 0.9194 0.8389
Sn 0.6923 0.3506 0.3847
Sn 0.0806 0.0806 0.1611
Sn 0.0773 0.5773 0.1546
Sn 0.3077 0.9659 0.6153

Properties
total moment: 0.000 μB/atom
DFT formation energy: -517 meV/atom
space-group type: Immm (71)

---

No. 4
This record from Alexandria via LeMat-Bulk describes a relaxed structure of In2TeRhPb. The functional is GGA-PBE.

Cell lengths 5.1922, 5.1922, 5.3174 Å; angles 90.00, 90.00, 90.00 degrees
Element x y z (fractional)
In 0.0000 0.5000 0.0000
In 0.5000 0.0000 0.0000
Te 0.5000 0.5000 0.5000
Pb 0.0000 0.0000 0.5000
Rh 0.0000 0.0000 0.0000

Properties
total moment: 0.000 μB/atom
energy relative to the elements, uncorrected: -0.19 eV per atom
space-group type: P4/mmm (123)

---

No. 5
This record from Alexandria via LeMat-Bulk describes a relaxed structure of Zr3CdFe. The functional is GGA-PBE.

Cell lengths 4.8361, 4.8361, 4.8361 Å; angles 90.00, 90.00, 90.00 degrees
Element x y z (fractional)
Cd 0.5000 0.5000 0.5000
Zr 0.0000 0.5000 0.0000
Zr 0.5000 0.0000 0.0000
Zr 0.0000 0.0000 0.5000
Fe 0.0000 0.0000 0.0000

Properties
total moment: 0.000 μB/atom
DFT formation energy: 177 meV/atom
space-group type: Pm-3m (221)

---

No. 6
This record from Alexandria via LeMat-Bulk describes a relaxed structure of Ce6PuP2. The functional is GGA-PBE.

Cell lengths 6.0106, 7.6084, 9.6891 Å; angles 90.00, 86.84, 90.00 degrees
Element x y z (fractional)
Pu 0.0000 0.0000 0.5000
Pu 0.5000 0.5000 0.0000
Ce 0.3879 0.5309 0.2482
Ce 0.1391 0.2985 0.5487
Ce 0.6391 0.2015 0.0487
Ce 0.3609 0.7985 0.9513
Ce 0.6121 0.4691 0.7518
Ce 0.1121 0.0309 0.2518
Ce 0.6493 0.1589 0.4492
Ce 0.3507 0.8411 0.5508
Ce 0.8879 0.9691 0.7482
Ce 0.1493 0.3411 0.9492
Ce 0.8609 0.7015 0.4513
Ce 0.8507 0.6589 0.0508
P 0.0834 0.6078 0.7375
P 0.9166 0.3922 0.2625
P 0.4166 0.1078 0.7625
P 0.5834 0.8922 0.2375

Properties
total moment: 0.000 μB/atom
DFT formation energy: -644 meV/atom
space-group type: P2_1/c (14)

---

No. 7
This record from Alexandria via LeMat-Bulk describes a relaxed structure of TlCdPCl2. The functional is GGA-PBE.

Cell lengths 5.4838, 5.4838, 5.0905 Å; angles 90.00, 90.00, 90.00 degrees
Element x y z (fractional)
Cl 0.5000 0.0000 0.0000
Cl 0.0000 0.5000 0.0000
Cd 0.0000 0.0000 0.0000
Tl 0.5000 0.5000 0.5000
P 0.0000 0.0000 0.5000

Properties
total moment: 0.397 μB/atom
energy relative to the elements, uncorrected: -0.22 eV per atom
space-group type: P4/mmm (123)

---

No. 8
This record from Alexandria via LeMat-Bulk describes a relaxed structure of Sn3SeS2. The functional is GGA-PBE.

Cell lengths 7.2435, 7.2590, 7.2590 Å; angles 120.33, 99.60, 99.60 degrees
Element x y z (fractional)
Se 0.2500 0.5799 0.4201
Se 0.7500 0.4201 0.5799
Sn 0.0000 0.5000 0.0000
Sn 0.5049 0.3285 0.1547
Sn 0.0049 0.1547 0.3285
Sn 0.5000 0.0000 0.5000
Sn 0.9951 0.8453 0.6715
Sn 0.4951 0.6715 0.8453
S 0.7500 0.0862 0.9138
S 0.7500 0.7438 0.2562
S 0.2500 0.2562 0.7438
S 0.2500 0.9138 0.0862

Properties
total moment: 0.000 μB/atom
energy relative to the elements, uncorrected: -0.41 eV per atom
space-group type: C2/c (15)

---

No. 9
This record from Alexandria via LeMat-Bulk describes a relaxed structure of PtRh2Pb. The functional is GGA-PBE.

Cell lengths 8.8736, 8.8736, 8.8736 Å; angles 19.69, 19.69, 19.69 degrees
Element x y z (fractional)
Rh 0.7469 0.7469 0.7469
Rh 0.2531 0.2531 0.2531
Pt 0.0000 0.0000 0.0000
Pb 0.5000 0.5000 0.5000

Properties
total moment: 0.000 μB/atom
DFT formation energy: 306 meV/atom
space-group type: R-3m (166)

---

No. 10
This record from Alexandria via LeMat-Bulk describes a relaxed structure of HoEr2Hg9. The functional is GGA-PBE.

Cell lengths 4.4857, 4.4857, 14.4211 Å; angles 90.00, 90.00, 90.00 degrees
Element x y z (fractional)
Hg 0.5000 0.5000 0.6666
Hg 0.5000 0.0000 0.1671
Hg 0.0000 0.5000 0.1671
Hg 0.5000 0.0000 0.5000
Hg 0.0000 0.5000 0.8329
Hg 0.5000 0.5000 0.3334
Hg 0.0000 0.5000 0.5000
Hg 0.5000 0.5000 0.0000
Hg 0.5000 0.0000 0.8329
Er 0.0000 0.0000 0.3336
Er 0.0000 0.0000 0.6664
Ho 0.0000 0.0000 0.0000

Properties
total moment: 0.000 μB/atom
DFT formation energy: -297 meV/atom
space-group type: P4/mmm (123)

---

No. 11
This record from Alexandria via LeMat-Bulk describes a relaxed structure of MgV2Se. The functional is GGA-PBE.

Cell lengths 4.4857, 4.4857, 4.4857 Å; angles 60.00, 60.00, 60.00 degrees
Element x y z (fractional)
Mg 0.0000 0.0000 0.0000
V 0.2500 0.2500 0.2500
V 0.7500 0.7500 0.7500
Se 0.5000 0.5000 0.5000

Properties
total moment: 0.954 μB/atom
energy relative to the elements, uncorrected: 0.41 eV per atom
space-group type: Fm-3m (225)

---

No. 12
This record from Alexandria via LeMat-Bulk describes a relaxed structure of TiCuHg2. The functional is GGA-PBE.

Cell lengths 7.4576, 7.4576, 6.0233 Å; angles 51.75, 51.75, 90.00 degrees
Element x y z (fractional)
Cu 0.7500 0.2500 0.5000
Cu 0.0000 0.0000 0.0000
Ti 0.2500 0.7500 0.5000
Ti 0.5000 0.5000 0.0000
Hg 0.1023 0.6250 0.2500
Hg 0.3750 0.3523 0.7500
Hg 0.6477 0.1250 0.2500
Hg 0.8750 0.8977 0.7500

Properties
total moment: 0.349 μB/atom
DFT formation energy: 364 meV/atom
space-group type: I-42d (122)

---

What did the second record say?
This record from Alexandria via LeMat-Bulk describes a relaxed structure of LaErPuO6. The functional is GGA-PBE.

Cell lengths 5.7565, 5.7565, 9.9804 Å; angles 90.00, 90.00, 120.00 degrees
Element x y z (fractional)
La 0.0000 0.0000 0.5000
La 0.0000 0.0000 0.0000
O 0.3442 0.3669 0.8611
O 0.9774 0.3442 0.1389
O 0.6331 0.9774 0.8611
O 0.0226 0.6558 0.8611
O 0.6558 0.6331 0.1389
O 0.6331 0.6558 0.6389
O 0.3669 0.3442 0.3611
O 0.3442 0.9774 0.6389
O 0.9774 0.6331 0.3611
O 0.3669 0.0226 0.1389
O 0.0226 0.3669 0.6389
O 0.6558 0.0226 0.3611
Pu 0.6667 0.3333 0.2500
Pu 0.3333 0.6667 0.7500
Er 0.6667 0.3333 0.7500
Er 0.3333 0.6667 0.2500

Properties
total moment: 0.222 μB/atom
energy relative to the elements, uncorrected: -3.10 eV per atom
space-group type: P-31c (163)

---

Q: Which of these has the highest total moment?
A: MgV2Se